Here is an optimized crystal structure of TlAs2PtO6 from the Alexandria database. Energies are from PBE-GGA.

a = 8.6148 Å, b = 8.6148 Å, c = 5.1164 Å
α = 90.57°, β = 90.57°, γ = 87.96°
Fractional coordinates of all 20 atoms:
Tl  0.2422  0.7578  0.7500
Tl  0.7578  0.2422  0.2500
As  0.1803  0.3425  0.2997
As  0.3425  0.1803  0.7997
As  0.6575  0.8197  0.2003
As  0.8197  0.6575  0.7003
Pt  0.3110  0.6890  0.2500
Pt  0.6890  0.3110  0.7500
O  0.0362  0.2209  0.2667
O  0.1377  0.5343  0.2355
O  0.2209  0.0362  0.7667
O  0.2730  0.3478  0.6166
O  0.3478  0.2730  0.1166
O  0.4657  0.8623  0.2645
O  0.5343  0.1377  0.7355
O  0.6522  0.7270  0.8834
O  0.7270  0.6522  0.3834
O  0.7791  0.9638  0.2333
O  0.8623  0.4657  0.7645
O  0.9638  0.7791  0.7333

## Properties
As for the space group: C2/c (15). The energy is -5.5898 eV per atom.